Entry 1:
The following is a DFT calculation (PBE) of a relaxed structure of Li2Zr2Al2FePt.

Magnetic moment = 0.9 μB/cell
E = -5.88 eV per atom

Cell lengths 4.4049, 4.4049, 6.3175 Å; angles 90.00, 90.00, 90.00 degrees
Atoms (fractional coordinates):
Pt (0.5000, 0.5000, 0.5000)
Al (0.0000, 0.5000, 0.7630)
Li (0.0000, 0.0000, 0.5000)
Fe (0.0000, 0.0000, 0.0000)
Zr (0.0000, 0.5000, 0.2343)
Al (0.5000, 0.0000, 0.2370)
Zr (0.5000, 0.0000, 0.7657)
Li (0.5000, 0.5000, 0.0000)

***

Entry 2:
The following is a DFT calculation (PBE) of a relaxed structure of LiTaAlFe.

Magnetic moment = 0.9 μB/cell
E = -6.14 eV per atom
Polymorph energy (0 for the lowest one) = 1.98 eV per formula unit

Cell lengths 4.2553, 4.2553, 4.2553 Å; angles 60.00, 60.00, 60.00 degrees
Atoms (fractional coordinates):
Fe (0.7500, 0.7500, 0.7500)
Ta (0.2500, 0.2500, 0.2500)
Li (0.5000, 0.5000, 0.5000)
Al (0.0000, 0.0000, 0.0000)

***

Entry 3:
The following is a DFT calculation (PBE) of a relaxed structure of LiAlFeW.

Magnetic moment = 0.0 μB/cell
E = -6.86 eV per atom
Polymorph energy (0 for the lowest one) = 0.00 eV per formula unit

Cell lengths 4.1251, 4.1251, 4.1251 Å; angles 60.00, 60.00, 60.00 degrees
Atoms (fractional coordinates):
Al (0.5000, 0.5000, 0.5000)
Li (0.7500, 0.7500, 0.7500)
W (0.0000, 0.0000, 0.0000)
Fe (0.2500, 0.2500, 0.2500)

***

Entry 4:
The following is a DFT calculation (PBE) of a relaxed structure of LiAlFeW.

Magnetic moment = 3.2 μB/cell
E = -6.29 eV per atom
Polymorph energy (0 for the lowest one) = 2.27 eV per formula unit

Cell lengths 4.2514, 4.2514, 4.2514 Å; angles 60.00, 60.00, 60.00 degrees
Atoms (fractional coordinates):
W (0.0000, 0.0000, 0.0000)
Fe (0.5000, 0.5000, 0.5000)
Al (0.2500, 0.2500, 0.2500)
Li (0.7500, 0.7500, 0.7500)

***

Entry 5:
The following is a DFT calculation (PBE) of a relaxed structure of LiYAlFe.

Magnetic moment = 1.2 μB/cell
E = -5.12 eV per atom
Polymorph energy (0 for the lowest one) = 0.00 eV per formula unit

Cell lengths 4.5374, 4.5374, 4.5374 Å; angles 60.00, 60.00, 60.00 degrees
Atoms (fractional coordinates):
Fe (0.7500, 0.7500, 0.7500)
Li (0.2500, 0.2500, 0.2500)
Al (0.0000, 0.0000, 0.0000)
Y (0.5000, 0.5000, 0.5000)

***

Entry 6:
The following is a DFT calculation (PBE) of a relaxed structure of LiYAlFe.

Magnetic moment = 2.6 μB/cell
E = -5.07 eV per atom
Polymorph energy (0 for the lowest one) = 0.22 eV per formula unit

Cell lengths 4.6494, 4.6494, 4.6494 Å; angles 60.00, 60.00, 60.00 degrees
Atoms (fractional coordinates):
Al (0.0000, 0.0000, 0.0000)
Y (0.2500, 0.2500, 0.2500)
Fe (0.7500, 0.7500, 0.7500)
Li (0.5000, 0.5000, 0.5000)

***

Entry 7:
The following is a DFT calculation (PBE) of a relaxed structure of LiAlZnFe.

Magnetic moment = 1.6 μB/cell
E = -3.88 eV per atom
Polymorph energy (0 for the lowest one) = 0.00 eV per formula unit

Cell lengths 4.1290, 4.1290, 4.1290 Å; angles 60.00, 60.00, 60.00 degrees
Atoms (fractional coordinates):
Li (0.2500, 0.2500, 0.2500)
Zn (0.5000, 0.5000, 0.5000)
Fe (0.7500, 0.7500, 0.7500)
Al (0.0000, 0.0000, 0.0000)

***

Entry 8:
The following is a DFT calculation (PBE) of a relaxed structure of LiAlZnFe.

Magnetic moment = 1.8 μB/cell
E = -3.79 eV per atom
Polymorph energy (0 for the lowest one) = 0.36 eV per formula unit

Cell lengths 4.1326, 4.1326, 4.1326 Å; angles 60.00, 60.00, 60.00 degrees
Atoms (fractional coordinates):
Zn (0.5000, 0.5000, 0.5000)
Li (0.7500, 0.7500, 0.7500)
Fe (0.0000, 0.0000, 0.0000)
Al (0.2500, 0.2500, 0.2500)

***

Entry 9:
The following is a DFT calculation (PBE) of a relaxed structure of LiZrAlFe.

Magnetic moment = 0.0 μB/cell
E = -5.81 eV per atom
Polymorph energy (0 for the lowest one) = 0.00 eV per formula unit

Cell lengths 4.3464, 4.3464, 4.3464 Å; angles 60.00, 60.00, 60.00 degrees
Atoms (fractional coordinates):
Li (0.2500, 0.2500, 0.2500)
Zr (0.5000, 0.5000, 0.5000)
Al (0.0000, 0.0000, 0.0000)
Fe (0.7500, 0.7500, 0.7500)

***

Entry 10:
The following is a DFT calculation (PBE) of a relaxed structure of LiZrAlFe.

Magnetic moment = 2.1 μB/cell
E = -5.61 eV per atom
Polymorph energy (0 for the lowest one) = 0.81 eV per formula unit

Cell lengths 4.4553, 4.4553, 4.4553 Å; angles 60.00, 60.00, 60.00 degrees
Atoms (fractional coordinates):
Li (0.5000, 0.5000, 0.5000)
Fe (0.7500, 0.7500, 0.7500)
Al (0.0000, 0.0000, 0.0000)
Zr (0.2500, 0.2500, 0.2500)

***

Entry 11:
The following is a DFT calculation (PBE) of a relaxed structure of Lu2AlFe.

Magnetic moment = 0.9 μB/cell
E = -5.21 eV per atom

Cell lengths 4.7284, 4.7284, 4.7284 Å; angles 60.00, 60.00, 60.00 degrees
Atoms (fractional coordinates):
Lu (0.0000, 0.0000, 0.0000)
Lu (0.7500, 0.7500, 0.7500)
Al (0.5000, 0.5000, 0.5000)
Fe (0.2500, 0.2500, 0.2500)

***

Entry 12:
The following is a DFT calculation (PBE) of a relaxed structure of LuAl2Fe.

Magnetic moment = 1.3 μB/cell
E = -5.18 eV per atom

Cell lengths 4.5351, 4.5351, 4.5351 Å; angles 60.00, 60.00, 60.00 degrees
Atoms (fractional coordinates):
Lu (0.5000, 0.5000, 0.5000)
Al (0.7500, 0.7500, 0.7500)
Al (0.0000, 0.0000, 0.0000)
Fe (0.2500, 0.2500, 0.2500)

***

Entry 13:
The following is a DFT calculation (PBE) of a relaxed structure of Lu10Al3Fe.

Magnetic moment = 0.0 μB/cell
E = -4.87 eV per atom

Cell lengths 9.2456, 9.2456, 9.3783 Å; angles 90.00, 90.00, 120.00 degrees
Atoms (fractional coordinates):
Lu (0.0800, 0.5400, 0.7500)
Lu (0.7904, 0.5808, 0.9375)
Al (0.1112, 0.2225, 0.7500)
Lu (0.2096, 0.7904, 0.4375)
Lu (0.2096, 0.4192, 0.4375)
Al (0.8888, 0.7775, 0.2500)
Al (0.1112, 0.8888, 0.7500)
Lu (0.9200, 0.4600, 0.2500)
Al (0.2225, 0.1112, 0.2500)
Al (0.8888, 0.1112, 0.2500)
Lu (0.7904, 0.2096, 0.5625)
Lu (0.0000, 0.0000, 0.5000)
Lu (0.2096, 0.4192, 0.0625)
Lu (0.4192, 0.2096, 0.9375)
Lu (0.2096, 0.7904, 0.0625)
Lu (0.7904, 0.2096, 0.9375)
Lu (0.5400, 0.0800, 0.2500)
Lu (0.7904, 0.5808, 0.5625)
Lu (0.4600, 0.9200, 0.7500)
Fe (0.3333, 0.6667, 0.2500)
Lu (0.4600, 0.5400, 0.7500)
Fe (0.6667, 0.3333, 0.7500)
Lu (0.5808, 0.7904, 0.4375)
Lu (0.4192, 0.2096, 0.5625)
Lu (0.5400, 0.4600, 0.2500)
Lu (0.5808, 0.7904, 0.0625)
Lu (0.0000, 0.0000, 0.0000)
Al (0.7775, 0.8888, 0.7500)

***

Entry 14:
The following is a DFT calculation (PBE) of a relaxed structure of LuAlFeMo.

Magnetic moment = 2.6 μB/cell
E = -6.69 eV per atom
Polymorph energy (0 for the lowest one) = 0.00 eV per formula unit

Cell lengths 4.5202, 4.5202, 4.5202 Å; angles 60.00, 60.00, 60.00 degrees
Atoms (fractional coordinates):
Mo (0.2500, 0.2500, 0.2500)
Fe (0.7500, 0.7500, 0.7500)
Lu (0.5000, 0.5000, 0.5000)
Al (0.0000, 0.0000, 0.0000)

***

Entry 15:
The following is a DFT calculation (PBE) of a relaxed structure of LuAlFeMo.

Magnetic moment = 1.9 μB/cell
E = -6.59 eV per atom
Polymorph energy (0 for the lowest one) = 0.40 eV per formula unit

Cell lengths 4.5314, 4.5314, 4.5314 Å; angles 60.00, 60.00, 60.00 degrees
Atoms (fractional coordinates):
Fe (0.7500, 0.7500, 0.7500)
Mo (0.5000, 0.5000, 0.5000)
Al (0.0000, 0.0000, 0.0000)
Lu (0.2500, 0.2500, 0.2500)

***

Entry 16:
The following is a DFT calculation (PBE) of a relaxed structure of LuAlFeOs.

Magnetic moment = 1.8 μB/cell
E = -7.08 eV per atom
Polymorph energy (0 for the lowest one) = 0.00 eV per formula unit

Cell lengths 4.4570, 4.4570, 4.4570 Å; angles 60.00, 60.00, 60.00 degrees
Atoms (fractional coordinates):
Al (0.0000, 0.0000, 0.0000)
Os (0.2500, 0.2500, 0.2500)
Fe (0.7500, 0.7500, 0.7500)
Lu (0.5000, 0.5000, 0.5000)

***

Entry 17:
The following is a DFT calculation (PBE) of a relaxed structure of LuAlFeOs.

Magnetic moment = 3.5 μB/cell
E = -6.87 eV per atom
Polymorph energy (0 for the lowest one) = 0.85 eV per formula unit

Cell lengths 4.5364, 4.5364, 4.5364 Å; angles 60.00, 60.00, 60.00 degrees
Atoms (fractional coordinates):
Lu (0.2500, 0.2500, 0.2500)
Fe (0.7500, 0.7500, 0.7500)
Al (0.0000, 0.0000, 0.0000)
Os (0.5000, 0.5000, 0.5000)

***

Entry 18:
The following is a DFT calculation (PBE) of a relaxed structure of LuScAlFe.

Magnetic moment = 1.0 μB/cell
E = -5.78 eV per atom
Polymorph energy (0 for the lowest one) = 0.00 eV per formula unit

Cell lengths 4.6448, 4.6448, 4.6448 Å; angles 60.00, 60.00, 60.00 degrees
Atoms (fractional coordinates):
Lu (0.5000, 0.5000, 0.5000)
Al (0.0000, 0.0000, 0.0000)
Fe (0.7500, 0.7500, 0.7500)
Sc (0.2500, 0.2500, 0.2500)

***

Entry 19:
The following is a DFT calculation (PBE) of a relaxed structure of LuTaAlFe.

Magnetic moment = 0.7 μB/cell
E = -6.90 eV per atom
Polymorph energy (0 for the lowest one) = 0.00 eV per formula unit

Cell lengths 4.5541, 4.5541, 4.5541 Å; angles 60.00, 60.00, 60.00 degrees
Atoms (fractional coordinates):
Lu (0.2500, 0.2500, 0.2500)
Ta (0.5000, 0.5000, 0.5000)
Fe (0.7500, 0.7500, 0.7500)
Al (0.0000, 0.0000, 0.0000)

***

Entry 20:
The following is a DFT calculation (PBE) of a relaxed structure of LuAlFeTc.

Magnetic moment = 3.0 μB/cell
E = -6.62 eV per atom
Polymorph energy (0 for the lowest one) = 0.69 eV per formula unit

Cell lengths 4.5419, 4.5419, 4.5419 Å; angles 60.00, 60.00, 60.00 degrees
Atoms (fractional coordinates):
Al (0.0000, 0.0000, 0.0000)
Tc (0.5000, 0.5000, 0.5000)
Lu (0.2500, 0.2500, 0.2500)
Fe (0.7500, 0.7500, 0.7500)